# CsAg2BiB SCAN PBEsol geometry
# Energy of formation from the pure elements (eV/atom): 0.9271
data_CsAg2BiB
_chemical_formula_sum 'Cs1 Ag2 Bi1 B1'
_symmetry_space_group_name_H-M 'P 4/m m m'
_symmetry_Int_Tables_number 123
_symmetry_space_group_name_Hall '-P 4 2'
_cell_length_a 4.617
_cell_length_b 4.617
_cell_length_c 5.552
_cell_angle_alpha 90.00
_cell_angle_beta 90.00
_cell_angle_gamma 90.00
loop_
_atom_site_label
_atom_site_type_symbol
_atom_site_fract_x
_atom_site_fract_y
_atom_site_fract_z
Cs1 Cs 0.000 0.000 0.000
Ag1 Ag 0.000 0.500 0.500
Bi1 Bi 0.500 0.500 0.000
B1 B 0.000 0.000 0.500



# NiAgBBr2 SCAN PBEsol geometry
# ΔE_f (raw) (kJ/mol of atoms): 110
data_NiAgBBr2
_chemical_formula_sum 'Ni1 Ag1 B1 Br2'
_symmetry_space_group_name_H-M 'P 4/m m m'
_symmetry_Int_Tables_number 123
_symmetry_space_group_name_Hall '-P 4 2'
_cell_length_a 5.304
_cell_length_b 5.304
_cell_length_c 4.052
_cell_angle_alpha 90.00
_cell_angle_beta 90.00
_cell_angle_gamma 90.00
loop_
_atom_site_label
_atom_site_type_symbol
_atom_site_fract_x
_atom_site_fract_y
_atom_site_fract_z
Ni1 Ni 0.000 0.000 0.000
Ag1 Ag 0.500 0.500 0.500
B1 B 0.500 0.500 0.000
Br1 Br 0.000 0.500 0.500



# AgBC3 SCAN PBEsol geometry
# Energy of formation from the pure elements (eV/atom): 4.2096
data_AgBC3
_chemical_formula_sum 'Ag1 B1 C3'
_symmetry_space_group_name_H-M 'P m -3 m'
_symmetry_Int_Tables_number 221
_symmetry_space_group_name_Hall '-P 4 2 3'
_cell_length_a 4.043
_cell_length_b 4.043
_cell_length_c 4.043
_cell_angle_alpha 90.00
_cell_angle_beta 90.00
_cell_angle_gamma 90.00
loop_
_atom_site_label
_atom_site_type_symbol
_atom_site_fract_x
_atom_site_fract_y
_atom_site_fract_z
Ag1 Ag 0.000 0.000 0.000
B1 B 0.500 0.500 0.500
C1 C 0.000 0.000 0.500



# CrAg2BC SCAN PBEsol geometry
# Energy of formation from the pure elements (eV/atom): 1.2443
data_CrAg2BC
_chemical_formula_sum 'Cr1 Ag2 B1 C1'
_symmetry_space_group_name_H-M 'P 4/m m m'
_symmetry_Int_Tables_number 123
_symmetry_space_group_name_Hall '-P 4 2'
_cell_length_a 4.135
_cell_length_b 4.135
_cell_length_c 3.851
_cell_angle_alpha 90.00
_cell_angle_beta 90.00
_cell_angle_gamma 90.00
loop_
_atom_site_label
_atom_site_type_symbol
_atom_site_fract_x
_atom_site_fract_y
_atom_site_fract_z
Cr1 Cr 0.000 0.000 0.000
Ag1 Ag 0.000 0.500 0.500
B1 B 0.500 0.500 0.000
C1 C 0.000 0.000 0.500



# MnAgB2C SCAN PBEsol geometry
# Energy of formation from the pure elements (eV/atom): 2.3229
data_MnAgB2C
_chemical_formula_sum 'Mn1 Ag1 B2 C1'
_symmetry_space_group_name_H-M 'P 4/m m m'
_symmetry_Int_Tables_number 123
_symmetry_space_group_name_Hall '-P 4 2'
_cell_length_a 3.890
_cell_length_b 3.890
_cell_length_c 5.119
_cell_angle_alpha 90.00
_cell_angle_beta 90.00
_cell_angle_gamma 90.00
loop_
_atom_site_label
_atom_site_type_symbol
_atom_site_fract_x
_atom_site_fract_y
_atom_site_fract_z
Mn1 Mn 0.000 0.000 0.000
Ag1 Ag 0.000 0.000 0.500
B1 B 0.000 0.500 0.500
C1 C 0.500 0.500 0.000



# CdAgB3 SCAN PBEsol geometry
# Energy of formation from the pure elements (eV/atom): 2.0039
data_CdAgB3
_chemical_formula_sum 'Cd1 Ag1 B3'
_symmetry_space_group_name_H-M 'P m -3 m'
_symmetry_Int_Tables_number 221
_symmetry_space_group_name_Hall '-P 4 2 3'
_cell_length_a 4.212
_cell_length_b 4.212
_cell_length_c 4.212
_cell_angle_alpha 90.00
_cell_angle_beta 90.00
_cell_angle_gamma 90.00
loop_
_atom_site_label
_atom_site_type_symbol
_atom_site_fract_x
_atom_site_fract_y
_atom_site_fract_z
Cd1 Cd 0.000 0.000 0.000
Ag1 Ag 0.500 0.500 0.500
B1 B 0.000 0.500 0.500



# LaCdAg2B SCAN PBEsol geometry
# Energy of formation from the pure elements (eV/atom): 0.1665
data_LaCdAg2B
_chemical_formula_sum 'La1 Cd1 Ag2 B1'
_symmetry_space_group_name_H-M 'P 4/m m m'
_symmetry_Int_Tables_number 123
_symmetry_space_group_name_Hall '-P 4 2'
_cell_length_a 4.565
_cell_length_b 4.565
_cell_length_c 4.603
_cell_angle_alpha 90.00
_cell_angle_beta 90.00
_cell_angle_gamma 90.00
loop_
_atom_site_label
_atom_site_type_symbol
_atom_site_fract_x
_atom_site_fract_y
_atom_site_fract_z
La1 La 0.000 0.000 0.000
Cd1 Cd 0.500 0.500 0.000
Ag1 Ag 0.000 0.500 0.500
B1 B 0.500 0.500 0.500



# AgBCl2 SCAN PBEsol geometry
# ΔE_f (raw) (kJ/mol of atoms): 30
data_AgBCl2
_chemical_formula_sum 'Ag3 B3 Cl6'
_symmetry_space_group_name_H-M 'R -3 m'
_symmetry_Int_Tables_number 166
_symmetry_space_group_name_Hall '-R 3 2"'
_cell_length_a 3.0808
_cell_length_b 3.0808
_cell_length_c 28.0379
_cell_angle_alpha 90.00
_cell_angle_beta 90.00
_cell_angle_gamma 120.00
loop_
_atom_site_label
_atom_site_type_symbol
_atom_site_fract_x
_atom_site_fract_y
_atom_site_fract_z
Ag1 Ag 0.0000 0.0000 0.0000
B1 B 0.0000 0.0000 0.5000
Cl1 Cl 0.0000 0.0000 0.4406



# AgB2Cl SCAN PBEsol geometry
# ΔE_f (raw) (kJ/mol of atoms): 136
data_AgB2Cl
_chemical_formula_sum 'Ag4 B8 Cl4'
_symmetry_space_group_name_H-M 'I -4 2 d'
_symmetry_Int_Tables_number 122
_symmetry_space_group_name_Hall 'I -4 2bw'
_cell_length_a 5.208
_cell_length_b 5.208
_cell_length_c 8.993
_cell_angle_alpha 90.00
_cell_angle_beta 90.00
_cell_angle_gamma 90.00
loop_
_atom_site_label
_atom_site_type_symbol
_atom_site_fract_x
_atom_site_fract_y
_atom_site_fract_z
Ag1 Ag 0.000 0.000 0.000
B1 B 0.239 0.250 0.125
Cl1 Cl 0.000 0.000 0.500



# AgBPtCl2 SCAN PBEsol geometry
# ΔE_f (raw) (kJ/mol of atoms): 136
data_AgBPtCl2
_chemical_formula_sum 'Ag1 B1 Pt1 Cl2'
_symmetry_space_group_name_H-M 'P 4/m m m'
_symmetry_Int_Tables_number 123
_symmetry_space_group_name_Hall '-P 4 2'
_cell_length_a 4.656
_cell_length_b 4.656
_cell_length_c 5.205
_cell_angle_alpha 90.00
_cell_angle_beta 90.00
_cell_angle_gamma 90.00
loop_
_atom_site_label
_atom_site_type_symbol
_atom_site_fract_x
_atom_site_fract_y
_atom_site_fract_z
Ag1 Ag 0.000 0.000 0.000
B1 B 0.500 0.500 0.500
Pt1 Pt 0.000 0.000 0.500
Cl1 Cl 0.000 0.500 0.000



# CoAgB2Pd SCAN PBEsol geometry
# Energy of formation from the pure elements (eV/atom): 1.2890
data_CoAgB2Pd
_chemical_formula_sum 'Co1 Ag1 B2 Pd1'
_symmetry_space_group_name_H-M 'P 4/m m m'
_symmetry_Int_Tables_number 123
_symmetry_space_group_name_Hall '-P 4 2'
_cell_length_a 3.924
_cell_length_b 3.924
_cell_length_c 5.038
_cell_angle_alpha 90.00
_cell_angle_beta 90.00
_cell_angle_gamma 90.00
loop_
_atom_site_label
_atom_site_type_symbol
_atom_site_fract_x
_atom_site_fract_y
_atom_site_fract_z
Co1 Co 0.000 0.000 0.000
Ag1 Ag 0.500 0.500 0.000
B1 B 0.000 0.500 0.500
Pd1 Pd 0.500 0.500 0.500



# CrAgB2 SCAN PBEsol geometry
# Energy of formation from the pure elements (eV/atom): 0.9364
data_CrAgB2
_chemical_formula_sum 'Cr4 Ag4 B8'
_symmetry_space_group_name_H-M 'I -4 2 d'
_symmetry_Int_Tables_number 122
_symmetry_space_group_name_Hall 'I -4 2bw'
_cell_length_a 5.652
_cell_length_b 5.652
_cell_length_c 5.431
_cell_angle_alpha 90.00
_cell_angle_beta 90.00
_cell_angle_gamma 90.00
loop_
_atom_site_label
_atom_site_type_symbol
_atom_site_fract_x
_atom_site_fract_y
_atom_site_fract_z
Cr1 Cr 0.000 0.000 0.000
Ag1 Ag 0.000 0.000 0.500
B1 B 0.222 0.250 0.125



# CrAgB3 SCAN PBEsol geometry
# Energy of formation from the pure elements (eV/atom): 1.2009
data_CrAgB3
_chemical_formula_sum 'Cr1 Ag1 B3'
_symmetry_space_group_name_H-M 'P m -3 m'
_symmetry_Int_Tables_number 221
_symmetry_space_group_name_Hall '-P 4 2 3'
_cell_length_a 3.872
_cell_length_b 3.872
_cell_length_c 3.872
_cell_angle_alpha 90.00
_cell_angle_beta 90.00
_cell_angle_gamma 90.00
loop_
_atom_site_label
_atom_site_type_symbol
_atom_site_fract_x
_atom_site_fract_y
_atom_site_fract_z
Cr1 Cr 0.000 0.000 0.000
Ag1 Ag 0.500 0.500 0.500
B1 B 0.000 0.000 0.500



# CsAg3B SCAN PBEsol geometry
# Energy of formation from the pure elements (eV/atom): 0.5489
data_CsAg3B
_chemical_formula_sum 'Cs1 Ag3 B1'
_symmetry_space_group_name_H-M 'P m -3 m'
_symmetry_Int_Tables_number 221
_symmetry_space_group_name_Hall '-P 4 2 3'
_cell_length_a 4.680
_cell_length_b 4.680
_cell_length_c 4.680
_cell_angle_alpha 90.00
_cell_angle_beta 90.00
_cell_angle_gamma 90.00
loop_
_atom_site_label
_atom_site_type_symbol
_atom_site_fract_x
_atom_site_fract_y
_atom_site_fract_z
Cs1 Cs 0.000 0.000 0.000
Ag1 Ag 0.000 0.500 0.500
B1 B 0.500 0.500 0.500